# Pt6RhW3 | Alexandria via LeMat-Bulk | GGA-PBE | relaxed
data_Pt6RhW3
_chemical_formula_sum 'Pt12 Rh2 W6'
_symmetry_space_group_name_H-M 'P 1 2/m 1'
_symmetry_Int_Tables_number 10
_cell_length_a 4.888
_cell_length_b 2.790
_cell_length_c 22.850
_cell_angle_alpha 90.00
_cell_angle_beta 94.48
_cell_angle_gamma 90.00
loop_
_symmetry_equiv_pos_as_xyz
'x,y,z'
'-x,-y,-z'
'-x,y,-z'
'x,-y,z'
loop_
_atom_site_label
_atom_site_fract_x
_atom_site_fract_y
_atom_site_fract_z
Pt1 0.084 0.000 0.297
Pt2 0.142 0.500 0.902
Pt3 0.209 0.000 0.599
Pt4 0.290 0.000 0.797
Pt5 0.293 0.500 0.402
Pt6 0.358 0.000 0.099
Rh1 0.000 0.000 0.000
Rh2 0.500 0.000 0.500
W1 0.000 0.500 0.500
W2 0.221 0.500 0.201
W3 0.422 0.500 0.701
W4 0.500 0.500 0.000
# Calculated total energy, eV per cell: -167.97
# Calculated formation energy, kJ/mol of atoms: -14.8
# Magnetic moment, μB/cell: 0.00

# PtRh4W | Alexandria via LeMat-Bulk | GGA-PBE | relaxed
data_PtRh4W
_chemical_formula_sum 'Pt1 Rh4 W1'
_symmetry_space_group_name_H-M 'P 4/m m m'
_symmetry_Int_Tables_number 123
_symmetry_space_group_name_Hall '-P 4 2'
_cell_length_a 4.134
_cell_length_b 4.134
_cell_length_c 6.149
_cell_angle_alpha 90.00
_cell_angle_beta 90.00
_cell_angle_gamma 90.00
loop_
_atom_site_label
_atom_site_fract_x
_atom_site_fract_y
_atom_site_fract_z
Pt1 0.000 0.000 0.000
Rh1 0.000 0.500 0.263
W1 0.500 0.500 0.500
# ΔE to the lowest computed polymorph, meV/atom: 275
# Calculated total energy, eV per cell: -46.70
# Calculated formation energy, kJ/mol of atoms: 27.3
# Magnetic moment, μB/cell: 0.00

# PtRh9W2 | Alexandria via LeMat-Bulk | GGA-PBE | relaxed
data_PtRh9W2
_chemical_formula_sum 'Pt1 Rh9 W2'
_symmetry_space_group_name_H-M 'P 4/m m m'
_symmetry_Int_Tables_number 123
_symmetry_space_group_name_Hall '-P 4 2'
_cell_length_a 3.877
_cell_length_b 3.877
_cell_length_c 11.597
_cell_angle_alpha 90.00
_cell_angle_beta 90.00
_cell_angle_gamma 90.00
loop_
_atom_site_label
_atom_site_fract_x
_atom_site_fract_y
_atom_site_fract_z
Pt1 0.000 0.000 0.000
Rh1 0.000 0.500 0.173
Rh2 0.000 0.500 0.500
Rh3 0.500 0.500 0.000
Rh4 0.500 0.500 0.336
W1 0.000 0.000 0.328
# Calculated total energy, eV per cell: -100.44
# Calculated formation energy, kJ/mol of atoms: -18.8
# Magnetic moment, μB/cell: 0.00

# PtRhW2 | Alexandria via LeMat-Bulk | GGA-PBE | relaxed
data_PtRhW2
_chemical_formula_sum 'Pt1 Rh1 W2'
_symmetry_space_group_name_H-M 'P m m m'
_symmetry_Int_Tables_number 47
_cell_length_a 2.743
_cell_length_b 4.058
_cell_length_c 5.492
_cell_angle_alpha 90.00
_cell_angle_beta 90.00
_cell_angle_gamma 90.00
loop_
_symmetry_equiv_pos_as_xyz
'x,y,z'
'-x,-y,-z'
'-x,-y,z'
'x,y,-z'
'x,-y,-z'
'-x,y,z'
'-x,y,-z'
'x,-y,z'
loop_
_atom_site_label
_atom_site_fract_x
_atom_site_fract_y
_atom_site_fract_z
Pt1 0.000 0.000 0.000
Rh1 0.000 0.000 0.500
W1 0.500 0.500 0.257
# ΔE to the lowest computed polymorph, meV/atom: 31
# Calculated total energy, eV per cell: -40.11
# Calculated formation energy, kJ/mol of atoms: -19.6
# Magnetic moment, μB/cell: 0.00

# PtRhW2 | Alexandria via LeMat-Bulk | GGA-PBE | relaxed
data_PtRhW2
_chemical_formula_sum 'Pt2 Rh2 W4'
_symmetry_space_group_name_H-M 'I 4/m m m'
_symmetry_Int_Tables_number 139
_symmetry_space_group_name_Hall '-I 4 2'
_cell_length_a 3.882
_cell_length_b 3.882
_cell_length_c 8.110
_cell_angle_alpha 90.00
_cell_angle_beta 90.00
_cell_angle_gamma 90.00
loop_
_atom_site_label
_atom_site_fract_x
_atom_site_fract_y
_atom_site_fract_z
Pt1 0.000 0.000 0.000
Rh1 0.000 0.000 0.500
W1 0.000 0.500 0.250
# ΔE to the lowest computed polymorph, meV/atom: 32
# Calculated total energy, eV per cell: -80.22
# Calculated formation energy, kJ/mol of atoms: -19.5
# Magnetic moment, μB/cell: 0.00

# Pt8Rh6W | Alexandria via LeMat-Bulk | GGA-PBE | relaxed
data_Pt8Rh6W
_chemical_formula_sum 'Pt24 Rh18 W3'
_symmetry_space_group_name_H-M 'R -3'
_symmetry_Int_Tables_number 148
_symmetry_space_group_name_Hall '-R 3'
_cell_length_a 7.2992
_cell_length_b 7.2992
_cell_length_c 15.9452
_cell_angle_alpha 90.00
_cell_angle_beta 90.00
_cell_angle_gamma 120.00
loop_
_atom_site_label
_atom_site_fract_x
_atom_site_fract_y
_atom_site_fract_z
Pt1 0.0000 0.0000 0.2451
Pt2 0.0135 0.2898 0.6286
Rh1 0.0044 0.2954 0.1302
W1 0.0000 0.0000 0.5000
# ΔE to the lowest computed polymorph, meV/atom: 11
# Calculated total energy, eV per cell: -308.31
# Calculated formation energy, kJ/mol of atoms: 16.8
# Magnetic moment, μB/cell: 0.01

# PtRh4W | Alexandria via LeMat-Bulk | GGA-PBE | relaxed
data_PtRh4W
_chemical_formula_sum 'Pt4 Rh16 W4'
_symmetry_space_group_name_H-M 'F -4 3 m'
_symmetry_Int_Tables_number 216
_symmetry_space_group_name_Hall 'F -4 2 3'
_cell_length_a 7.141
_cell_length_b 7.141
_cell_length_c 7.141
_cell_angle_alpha 90.00
_cell_angle_beta 90.00
_cell_angle_gamma 90.00
loop_
_atom_site_label
_atom_site_fract_x
_atom_site_fract_y
_atom_site_fract_z
Pt1 0.000 0.000 0.000
Rh1 0.125 0.125 0.625
W1 0.250 0.250 0.250
# ΔE to the lowest computed polymorph, meV/atom: 206
# Calculated total energy, eV per cell: -188.46
# Calculated formation energy, kJ/mol of atoms: 20.7
# Magnetic moment, μB/cell: 0.00

# PtRh8W2 | Alexandria via LeMat-Bulk | GGA-PBE | relaxed
data_PtRh8W2
_chemical_formula_sum 'Pt2 Rh16 W4'
_symmetry_space_group_name_H-M 'I m m m'
_symmetry_Int_Tables_number 71
_symmetry_space_group_name_Hall '-I 2 2'
_cell_length_a 4.086
_cell_length_b 6.799
_cell_length_c 12.057
_cell_angle_alpha 90.00
_cell_angle_beta 90.00
_cell_angle_gamma 90.00
loop_
_atom_site_label
_atom_site_fract_x
_atom_site_fract_y
_atom_site_fract_z
Pt1 0.000 0.000 0.000
Rh1 0.000 0.198 0.500
Rh2 0.000 0.284 0.150
Rh3 0.000 0.500 0.339
W1 0.000 0.000 0.304
# Calculated total energy, eV per cell: -182.07
# Calculated formation energy, kJ/mol of atoms: -2.4
# Magnetic moment, μB/cell: 0.00

# PtRhW2 | Alexandria via LeMat-Bulk | GGA-PBE | relaxed
data_PtRhW2
_chemical_formula_sum 'Pt4 Rh4 W8'
_symmetry_space_group_name_H-M 'F -4 3 m'
_symmetry_Int_Tables_number 216
_symmetry_space_group_name_Hall 'F -4 2 3'
_cell_length_a 6.297
_cell_length_b 6.297
_cell_length_c 6.297
_cell_angle_alpha 90.00
_cell_angle_beta 90.00
_cell_angle_gamma 90.00
loop_
_atom_site_label
_atom_site_fract_x
_atom_site_fract_y
_atom_site_fract_z
Pt1 0.000 0.000 0.000
Rh1 0.250 0.250 0.250
W1 0.000 0.000 0.500
W2 0.250 0.250 0.750
# ΔE to the lowest computed polymorph, meV/atom: 312
# Calculated total energy, eV per cell: -155.94
# Calculated formation energy, kJ/mol of atoms: 7.6
# Magnetic moment, μB/cell: 0.00

# PtRhW2 | Alexandria via LeMat-Bulk | GGA-PBE | relaxed
data_PtRhW2
_chemical_formula_sum 'Pt1 Rh1 W2'
_symmetry_space_group_name_H-M 'P 4/m m m'
_symmetry_Int_Tables_number 123
_symmetry_space_group_name_Hall '-P 4 2'
_cell_length_a 3.403
_cell_length_b 3.403
_cell_length_c 5.447
_cell_angle_alpha 90.00
_cell_angle_beta 90.00
_cell_angle_gamma 90.00
loop_
_atom_site_label
_atom_site_fract_x
_atom_site_fract_y
_atom_site_fract_z
Pt1 0.000 0.000 0.000
Rh1 0.000 0.000 0.500
W1 0.500 0.500 0.261
# ΔE to the lowest computed polymorph, meV/atom: 356
# Calculated total energy, eV per cell: -38.81
# Calculated formation energy, kJ/mol of atoms: 11.7
# Magnetic moment, μB/cell: 0.00